Entry 1:
Here is a geometry-optimized HfVPt6 structure from Alexandria via LeMat-Bulk. Energies are from PBE-GGA.

Structure (POSCAR):
```
HfVPt6
1.0
3.9743 0.0000 0.0000
0.0000 3.9743 0.0000
0.0000 0.0000 7.9786
Hf V Pt
1 1 6
direct
0.0000 0.0000 0.0000
0.0000 0.0000 0.5000
0.5000 0.5000 0.0000
0.5000 0.5000 0.5000
0.5000 0.0000 0.2559
0.5000 0.0000 0.7441
0.0000 0.5000 0.2559
0.0000 0.5000 0.7441
```

E_form, meV per atom: -759.3

Entry 2:
Here is a geometry-optimized HfV2Pt2 structure from Alexandria via LeMat-Bulk. Energies are from PBE-GGA.

Structure (POSCAR):
```
HfV2Pt2
1.0
7.5761 0.0000 0.0000
0.0000 7.5761 0.0000
0.0000 0.0000 2.7998
Hf Pt V
2 4 4
direct
0.0000 0.0000 0.0000
0.5000 0.5000 0.0000
0.3697 0.8697 0.0000
0.8697 0.6303 0.0000
0.6303 0.1303 0.0000
0.1303 0.3697 0.0000
0.1677 0.6677 0.5000
0.6677 0.8323 0.5000
0.8323 0.3323 0.5000
0.3323 0.1677 0.5000
```

E_form, meV per atom: -411.5
Energy relative to the lowest polymorph listed for this composition, meV per atom: 45

Entry 3:
Here is a geometry-optimized HfV2Pt structure from Alexandria via LeMat-Bulk. Energies are from PBE-GGA.

Structure (POSCAR):
```
HfV2Pt
1.0
-1.4954 3.6013 6.1491
5.9021 -2.8948 3.1308
3.6470 2.3877 3.7995
Hf Pt V
2 2 4
direct
0.5000 0.5000 0.0000
0.2500 0.7500 0.5000
0.0000 0.0000 0.0000
0.7500 0.2500 0.5000
0.6545 0.1250 0.2500
0.0955 0.6250 0.2500
0.3750 0.3455 0.7500
0.8750 0.9045 0.7500
```

E_form, meV per atom: 132.1
Energy relative to the lowest polymorph listed for this composition, meV per atom: 320

Entry 4:
Here is a geometry-optimized HfVPt2 structure from Alexandria via LeMat-Bulk. Energies are from PBE-GGA.

Structure (POSCAR):
```
HfVPt2
1.0
4.0083 0.0000 0.0000
0.0000 4.0083 0.0000
2.0041 2.0041 8.9219
Hf Pt V
2 4 2
direct
0.0000 0.0000 0.0000
0.7500 0.2500 0.5000
0.6122 0.1250 0.2500
0.1378 0.6250 0.2500
0.3750 0.3878 0.7500
0.8750 0.8622 0.7500
0.5000 0.5000 0.0000
0.2500 0.7500 0.5000
```

E_form, meV per atom: -157.0
Energy relative to the lowest polymorph listed for this composition, meV per atom: 597

Entry 5:
Here is a geometry-optimized HfPt2W structure from Alexandria via LeMat-Bulk. Energies are from PBE-GGA.

Structure (POSCAR):
```
HfPt2W
1.0
4.0102 0.0000 0.0000
0.0000 4.0102 0.0000
2.0051 2.0051 9.1914
Hf W Pt
2 2 4
direct
0.5000 0.5000 0.0000
0.2500 0.7500 0.5000
0.0000 0.0000 0.0000
0.7500 0.2500 0.5000
0.6323 0.1250 0.2500
0.1177 0.6250 0.2500
0.3750 0.3677 0.7500
0.8750 0.8823 0.7500
```

E_form, meV per atom: 68.5

Entry 6:
Here is a geometry-optimized HfPtW3 structure from Alexandria via LeMat-Bulk. Energies are from PBE-GGA.

Structure (POSCAR):
```
HfPtW3
1.0
4.7807 0.0000 0.0000
0.0000 4.7807 0.0000
0.0000 0.0000 4.7807
Hf W Pt
1 3 1
direct
0.5000 0.5000 0.5000
0.0000 0.5000 0.0000
0.0000 0.0000 0.5000
0.5000 0.0000 0.0000
0.0000 0.0000 0.0000
```

E_form, meV per atom: 1773.0
Energy relative to the lowest polymorph listed for this composition, meV per atom: 0

Entry 7:
Here is a geometry-optimized Hf2PtW structure from Alexandria via LeMat-Bulk. Energies are from PBE-GGA.

Structure (POSCAR):
```
Hf2PtW
1.0
-4.4067 -0.7178 -1.3989
-2.4717 -3.5499 1.7832
-3.5514 0.8576 2.9228
Hf W Pt
2 1 1
direct
0.2500 0.2500 0.2500
0.7500 0.7500 0.7500
0.5000 0.5000 0.5000
0.0000 0.0000 0.0000
```

E_form, meV per atom: -511.6
Energy relative to the lowest polymorph listed for this composition, meV per atom: 54

Entry 8:
Here is a geometry-optimized Hf2PtW structure from Alexandria via LeMat-Bulk. Energies are from PBE-GGA.

Structure (POSCAR):
```
Hf2PtW
1.0
-2.9096 -0.4109 -1.5901
0.8704 -3.1289 -0.7842
-2.7366 -2.1559 5.5645
Hf W Pt
2 1 1
direct
0.0000 0.0000 0.7445
0.0000 0.0000 0.2555
0.5000 0.5000 0.5000
0.5000 0.5000 0.0000
```

E_form, meV per atom: -565.7
Energy relative to the lowest polymorph listed for this composition, meV per atom: 0

Entry 9:
Here is a geometry-optimized HfPtW3 structure from Alexandria via LeMat-Bulk. Energies are from PBE-GGA.

Structure (POSCAR):
```
HfPtW3
1.0
-3.4169 -3.2601 0.0802
2.3022 -2.3292 3.4036
-2.3097 2.5013 3.2739
Hf W Pt
1 3 1
direct
0.0000 0.0000 0.0000
0.0000 0.5000 0.0000
0.0000 0.0000 0.5000
0.5000 0.0000 0.0000
0.5000 0.5000 0.5000
```

E_form, meV per atom: 2503.3
Energy relative to the lowest polymorph listed for this composition, meV per atom: 730

Entry 10:
Here is a geometry-optimized HfPt3W structure from Alexandria via LeMat-Bulk. Energies are from PBE-GGA.

Structure (POSCAR):
```
HfPt3W
1.0
4.8100 0.0000 0.0000
0.0000 4.8100 0.0000
0.0000 0.0000 4.8100
Hf W Pt
1 1 3
direct
0.5000 0.5000 0.5000
0.0000 0.0000 0.0000
0.0000 0.5000 0.0000
0.0000 0.0000 0.5000
0.5000 0.0000 0.0000
```

E_form, meV per atom: 797.4
Energy relative to the lowest polymorph listed for this composition, meV per atom: 0

Entry 11:
Here is a geometry-optimized Hf3PtW structure from Alexandria via LeMat-Bulk. Energies are from PBE-GGA.

Structure (POSCAR):
```
Hf3PtW
1.0
-1.6636 -1.7021 -4.3451
-3.4760 -2.6258 2.3594
-3.1136 3.8409 -0.3125
Hf W Pt
3 1 1
direct
0.0000 0.5000 0.0000
0.0000 0.0000 0.5000
0.5000 0.0000 0.0000
0.5000 0.5000 0.5000
0.0000 0.0000 0.0000
```

E_form, meV per atom: 868.5
Energy relative to the lowest polymorph listed for this composition, meV per atom: 0

Entry 12:
Here is a geometry-optimized Hf3PtW structure from Alexandria via LeMat-Bulk. Energies are from PBE-GGA.

Structure (POSCAR):
```
Hf3PtW
1.0
4.9664 0.0000 0.0000
0.0000 4.9664 0.0000
0.0000 0.0000 4.9664
Hf W Pt
3 1 1
direct
0.0000 0.5000 0.0000
0.0000 0.0000 0.5000
0.5000 0.0000 0.0000
0.0000 0.0000 0.0000
0.5000 0.5000 0.5000
```

E_form, meV per atom: 935.2
Energy relative to the lowest polymorph listed for this composition, meV per atom: 67

What did the fourth record say?
Here is a geometry-optimized HfVPt2 structure from Alexandria via LeMat-Bulk. Energies are from PBE-GGA.

Structure (POSCAR):
```
HfVPt2
1.0
4.0083 0.0000 0.0000
0.0000 4.0083 0.0000
2.0041 2.0041 8.9219
Hf Pt V
2 4 2
direct
0.0000 0.0000 0.0000
0.7500 0.2500 0.5000
0.6122 0.1250 0.2500
0.1378 0.6250 0.2500
0.3750 0.3878 0.7500
0.8750 0.8622 0.7500
0.5000 0.5000 0.0000
0.2500 0.7500 0.5000
```

E_form, meV per atom: -157.0
Energy relative to the lowest polymorph listed for this composition, meV per atom: 597